[1]
Crystalline Tm2ZrPaCo2 at its relaxed geometry, computed with PBE.

Cell lengths 7.698, 7.698, 7.698 Å; angles 129.59, 74.83, 128.64 degrees
Fractional coordinates of all 12 atoms:
Tm 0.196 0.239 0.435
Tm 0.304 0.739 0.044
Tm 0.696 0.261 0.956
Tm 0.804 0.761 0.565
Zr 0.250 0.250 0.000
Zr 0.750 0.750 0.000
Pa 0.250 0.750 0.500
Pa 0.750 0.250 0.500
Co 0.084 0.735 0.819
Co 0.416 0.235 0.651
Co 0.584 0.765 0.349
Co 0.916 0.265 0.181

Calculated values
Total magnetic moment, μB per atom: 0.000
Calculated volume, Å³ per atom: 22.29
Space-group type: Ibam
Electronic total energy, eV/atom: -7.08
Energy relative to the elements, eV/atom: -0.21

[2]
Crystalline UPa2Co at its relaxed geometry, computed with PBE.

Cell lengths 3.045, 3.045, 30.156 Å; angles 90.00, 90.00, 120.00 degrees
Fractional coordinates of all 12 atoms:
U 0.000 0.000 0.000
U 0.333 0.667 0.667
U 0.667 0.333 0.333
Pa 0.000 0.000 0.096
Pa 0.000 0.000 0.904
Pa 0.333 0.667 0.571
Pa 0.333 0.667 0.762
Pa 0.667 0.333 0.238
Pa 0.667 0.333 0.429
Co 0.000 0.000 0.500
Co 0.333 0.667 0.167
Co 0.667 0.333 0.833

Calculated values
Total magnetic moment, μB per atom: 0.217
Calculated volume, Å³ per atom: 20.18
Space-group type: R-3m
Electronic total energy, eV/atom: -9.08
Energy relative to the elements, eV/atom: 0.26

[3]
Crystalline UPaCo at its relaxed geometry, computed with PBE.

Cell lengths 3.513, 3.513, 9.126 Å; angles 90.00, 90.00, 90.00 degrees
Fractional coordinates of all 6 atoms:
U 0.000 0.000 0.000
U 0.500 0.500 0.500
Pa 0.000 0.000 0.684
Pa 0.500 0.500 0.184
Co 0.000 0.000 0.341
Co 0.500 0.500 0.841

Calculated values
Total magnetic moment, μB per atom: 0.809
Calculated volume, Å³ per atom: 18.78
Space-group type: I4mm
Electronic total energy, eV/atom: -9.25
Polymorph energy (0 for the lowest one), meV/atom: 0
Energy relative to the elements, eV/atom: 0.05

[4]
Crystalline UPaCo4 at its relaxed geometry, computed with PBE.

Cell lengths 4.931, 4.931, 4.931 Å; angles 60.00, 60.00, 60.00 degrees
Fractional coordinates of all 6 atoms:
U 0.000 0.000 0.000
Pa 0.750 0.750 0.750
Co 0.374 0.374 0.374
Co 0.374 0.374 0.877
Co 0.374 0.877 0.374
Co 0.877 0.374 0.374

Calculated values
Total magnetic moment, μB per atom: 0.097
Calculated volume, Å³ per atom: 14.13
Space-group type: F-43m
Electronic total energy, eV/atom: -8.50
Energy relative to the elements, eV/atom: -0.30

[5]
Crystalline UPa2Co9 at its relaxed geometry, computed with PBE.

Cell lengths 3.791, 3.791, 11.386 Å; angles 90.00, 90.00, 90.00 degrees
Fractional coordinates of all 12 atoms:
U 0.000 0.000 0.000
Pa 0.000 0.000 0.333
Pa 0.000 0.000 0.667
Co 0.000 0.500 0.160
Co 0.000 0.500 0.500
Co 0.000 0.500 0.840
Co 0.500 0.000 0.160
Co 0.500 0.000 0.500
Co 0.500 0.000 0.840
Co 0.500 0.500 0.000
Co 0.500 0.500 0.331
Co 0.500 0.500 0.669

Calculated values
Total magnetic moment, μB per atom: 0.295
Calculated volume, Å³ per atom: 13.64
Space-group type: P4/mmm
Electronic total energy, eV/atom: -8.17
Polymorph energy (0 for the lowest one), meV/atom: 0
Energy relative to the elements, eV/atom: -0.32

[6]
Crystalline UPaCo at its relaxed geometry, computed with PBE.

Cell lengths 2.976, 4.986, 7.937 Å; angles 90.00, 90.00, 90.00 degrees
Fractional coordinates of all 6 atoms:
U 0.250 0.250 0.035
U 0.750 0.750 0.965
Pa 0.250 0.750 0.335
Pa 0.750 0.250 0.665
Co 0.250 0.250 0.359
Co 0.750 0.750 0.641

Calculated values
Total magnetic moment, μB per atom: 0.000
Calculated volume, Å³ per atom: 19.63
Space-group type: Pmmn
Electronic total energy, eV/atom: -9.07
Polymorph energy (0 for the lowest one), meV/atom: 180
Energy relative to the elements, eV/atom: 0.23